A geometry-optimized Sm2ScGa4Pt3 structure, computed with GGA-PBE.

Output
calculated formation energy: -909 meV per atom
crystal system: tetragonal

a b c (Å): 4.176 4.176 11.407
angles (deg): 90.00 90.00 90.00
Fractional coordinates of all 10 atoms:
Sm 0.000 0.500 0.238
Sm 0.500 0.000 0.762
Sc 0.000 0.000 0.500
Ga 0.000 0.000 0.000
Ga 0.000 0.500 0.653
Ga 0.500 0.000 0.347
Ga 0.500 0.500 0.000
Pt 0.000 0.500 0.870
Pt 0.500 0.000 0.130
Pt 0.500 0.500 0.500

A geometry-optimized Mg2CdCl6 structure, computed with GGA-PBE.

Output
ΔE to the lowest computed polymorph: 0.000 eV/atom
formation energy from raw total energies: -1.596 eV per atom
crystal system: monoclinic

a b c (Å): 8.627 8.627 7.868
angles (deg): 105.91 105.91 24.99
Fractional coordinates of all 9 atoms:
Mg 0.169 0.169 0.337
Mg 0.831 0.831 0.663
Cd 0.500 0.500 0.000
Cl 0.012 0.012 0.245
Cl 0.325 0.325 0.441
Cl 0.335 0.335 0.884
Cl 0.665 0.665 0.116
Cl 0.675 0.675 0.559
Cl 0.988 0.988 0.755

A geometry-optimized TaSiNi structure, computed with GGA-PBE.

Output
formation energy from raw total energies: -0.605 eV per atom
crystal system: monoclinic

a b c (Å): 4.955 4.955 6.144
angles (deg): 125.74 125.74 44.22
Fractional coordinates of all 6 atoms:
Ta 0.065 0.065 0.317
Ta 0.935 0.935 0.683
Si 0.339 0.339 0.290
Si 0.661 0.661 0.710
Ni 0.336 0.336 0.911
Ni 0.664 0.664 0.089

A geometry-optimized AsPbAu3 structure, computed with GGA-PBE.

Output
ΔE to the lowest computed polymorph: 0.774 eV/atom
calculated formation energy: 999 meV per atom
crystal system: cubic

a b c (Å): 5.336 5.336 5.336
angles (deg): 90.00 90.00 90.00
Fractional coordinates of all 5 atoms:
As 0.000 0.000 0.000
Pb 0.500 0.500 0.500
Au 0.000 0.500 0.500
Au 0.500 0.000 0.500
Au 0.500 0.500 0.000

A geometry-optimized Rb2FeCuI6 structure, computed with GGA-PBE.

Output
formation energy from raw total energies: -0.598 eV per atom
crystal system: cubic

a b c (Å): 8.016 8.016 8.016
angles (deg): 60.00 60.00 60.00
Fractional coordinates of all 10 atoms:
Rb 0.250 0.250 0.250
Rb 0.750 0.750 0.750
Fe 0.000 0.000 0.000
Cu 0.500 0.500 0.500
I 0.248 0.248 0.752
I 0.248 0.752 0.248
I 0.248 0.752 0.752
I 0.752 0.248 0.248
I 0.752 0.248 0.752
I 0.752 0.752 0.248

A geometry-optimized AcLa3Pr2Se6 structure, computed with GGA-PBE.

Output
formation energy from raw total energies: -1.929 eV per atom
crystal system: monoclinic

a b c (Å): 7.500 7.500 7.484
angles (deg): 99.63 99.63 120.14
Fractional coordinates of all 12 atoms:
Ac 0.000 0.000 0.000
La 0.165 0.835 0.500
La 0.500 0.500 0.500
La 0.835 0.165 0.500
Pr 0.333 0.667 0.000
Pr 0.667 0.333 0.000
Se 0.085 0.424 0.253
Se 0.256 0.256 0.750
Se 0.424 0.085 0.253
Se 0.576 0.915 0.747
Se 0.744 0.744 0.250
Se 0.915 0.576 0.747

A geometry-optimized ZrCoTc structure, computed with GGA-PBE.

Output
ΔE to the lowest computed polymorph: 0.211 eV/atom
calculated formation energy: -82 meV per atom
crystal system: orthorhombic

a b c (Å): 6.586 6.586 4.343
angles (deg): 90.00 90.00 150.10
Fractional coordinates of all 6 atoms:
Zr 0.095 0.905 0.750
Zr 0.905 0.095 0.250
Co 0.243 0.757 0.250
Co 0.757 0.243 0.750
Tc 0.404 0.596 0.750
Tc 0.596 0.404 0.250

A geometry-optimized Er2Mg2Zr structure, computed with GGA-PBE.

Output
calculated formation energy: -37 meV per atom
crystal system: tetragonal

a b c (Å): 11.621 11.621 11.621
angles (deg): 163.26 163.26 23.77
Fractional coordinates of all 5 atoms:
Er 0.100 0.100 0.000
Er 0.900 0.900 0.000
Mg 0.294 0.294 0.000
Mg 0.706 0.706 0.000
Zr 0.500 0.500 0.000

Number 1: theoretical density 10.1 Mg/m³, DOS at the Fermi energy 7.6 states/eV/f.u.. Number 2: theoretical density 2.6 Mg/m³, DOS at the Fermi energy 0.0 states/eV/f.u.. Number 3: theoretical density 10.9 Mg/m³, DOS at the Fermi energy 1.4 states/eV/f.u.. Number 4: theoretical density 9.5 Mg/m³, DOS at the Fermi energy 3.6 states/eV/f.u.. Number 5: theoretical density 4.8 Mg/m³, DOS at the Fermi energy 8.6 states/eV/f.u.. Number 6: theoretical density 6.8 Mg/m³, DOS at the Fermi energy 6.3 states/eV/f.u.. Number 7: theoretical density 8.8 Mg/m³, DOS at the Fermi energy 4.2 states/eV/f.u.. Number 8: theoretical density 6.0 Mg/m³, DOS at the Fermi energy 3.7 states/eV/f.u..